Cs4TlCr3F12: optimized geometry, GGA+U.

Uncorrected energy = -5.15 eV/atom

Lattice parameters (Å, degrees): 9.0327 9.0327 9.0327 90.00 90.00 90.00
Closest atoms and distances in Å follow each position.
Space group Im-3m (No. 229)
Unique sites:
Cs 0.2500 0.2500 0.2500 [8 per cell]  12 F 3.19-3.21
Tl 0.0000 0.0000 0.0000 [2 per cell]  6 F 2.58
Cr 0.0000 0.0000 0.5000 [6 per cell]  2 F 1.93
F 0.0000 0.0000 0.2862 [12 per cell]  1 Cr 1.93
F 0.0000 0.2500 0.5000 [12 per cell]  2 Cr 2.26